A PBEsol-optimized structure of In2SbSe. Source: Alexandria, functional meta-GGA SCAN.

## Properties
DOS at the Fermi energy = 0.437 states/eV per atom
Formation energy without anion corrections = -0.09 eV per atom
Total DFT energy (no corrections) = -31.11 eV/atom
Volume = 26.09 A^3/atom

Cell lengths 3.8253, 3.8253, 24.7076 Å; angles 90.00, 90.00, 120.00 degrees
Space group R3m (No. 160, hexagonal axes)
One atom of each set of equivalent atoms:
In 0.0000 0.0000 0.0000 [3 per cell]
In 0.0000 0.0000 0.2433 [3 per cell]
Sb 0.0000 0.0000 0.7494 [3 per cell]
Se 0.0000 0.0000 0.5138 [3 per cell]